Entry 1:
First-principles (GGA-PBE) data for a geometry-optimized KTmSc structure, as listed in the Open Quantum Materials Database.

CIF file:
```
data_KTmSc
_chemical_formula_sum 'K4 Tm4 Sc4'
_cell_length_a 8.060
_cell_length_b 8.060
_cell_length_c 8.060
_cell_angle_alpha 90.00
_cell_angle_beta 90.00
_cell_angle_gamma 90.00
_symmetry_space_group_name_H-M 'F -4 3 m'
_symmetry_Int_Tables_number 216
_symmetry_space_group_name_Hall 'F -4 2 3'
loop_
_atom_site_label
_atom_site_type_symbol
_atom_site_fract_x
_atom_site_fract_y
_atom_site_fract_z
K1 K 0.000 0.000 0.000
Tm1 Tm 0.000 0.000 0.500
Sc1 Sc 0.250 0.250 0.250
```

Values from the calculation:
VASP energy = -33.12 eV/cell
Crystal system = cubic
Polymorph energy (0 for the lowest one) = 0.0000 eV per atom
Magnetic moment = 5.003 μB/cell
Calculated volume = 131 Å³/f.u.


Entry 2:
First-principles (GGA-PBE) data for a geometry-optimized AlCuRe structure, as listed in the Open Quantum Materials Database.

CIF file:
```
data_AlCuRe
_chemical_formula_sum 'Al4 Cu4 Re4'
_cell_length_a 5.681
_cell_length_b 5.681
_cell_length_c 5.681
_cell_angle_alpha 90.00
_cell_angle_beta 90.00
_cell_angle_gamma 90.00
_symmetry_space_group_name_H-M 'F -4 3 m'
_symmetry_Int_Tables_number 216
_symmetry_space_group_name_Hall 'F -4 2 3'
loop_
_atom_site_label
_atom_site_type_symbol
_atom_site_fract_x
_atom_site_fract_y
_atom_site_fract_z
Al1 Al 0.000 0.000 0.000
Cu1 Cu 0.250 0.250 0.250
Re1 Re 0.000 0.000 0.500
```

Values from the calculation:
VASP energy = -71.75 eV/cell
Crystal system = cubic
Polymorph energy (0 for the lowest one) = 0.0000 eV per atom
Magnetic moment = 4.073 μB/cell
Calculated volume = 46 Å³/f.u.